# Tm2TlNi2

Tm2TlNi2 after structural relaxation (PBE, the Alexandria database).

Output
- Raw total energy: -4.87 eV/atom
- Formation enthalpy at 0 K: -0.293 eV/atom
- Calculated density: 11.22 g/cm³

Cell: 4.7504 4.7504 14.9851 Å, 90.00 90.00 120.00°
Space group R-3m (No. 166, hexagonal axes)
Unique sites:
Tm 0.0000 0.0000 0.2307 (multiplicity 6)
Tl 0.0000 0.0000 0.0000 (multiplicity 3)
Ni 0.0000 0.0000 0.4208 (multiplicity 6)

=====

# Tm12Tl6Ni

Tm12Tl6Ni after structural relaxation (PBE, the Alexandria database).

Output
- Raw total energy: -4.01 eV/atom
- Formation enthalpy at 0 K: -0.139 eV/atom
- Calculated density: 10.07 g/cm³

Cell: 11.9709 11.9709 13.2090 Å, 90.00 90.00 120.00°
Space group R-3 (No. 148, hexagonal axes)
Unique sites:
Tm 0.0337 0.1854 0.3766 (multiplicity 18)
Tm 0.0344 0.8492 0.8905 (multiplicity 18)
Tl 0.0048 0.6109 0.7580 (multiplicity 18)
Ni 0.0000 0.0000 0.5000 (multiplicity 3)

=====

Q: Which of these has the highest raw total energy?
A: Tm12Tl6Ni

=====

Q: Look up the formation enthalpy at 0 K of the first one.
A: -0.293 eV/atom